# PBE-GGA NiSbW2, optimized geometry
data_NiSbW2
_chemical_formula_sum 'Ni1 Sb1 W2'
_space_group_name_H-M_alt 'P 1'
_space_group_IT_number 1
_cell_length_a 3.3391
_cell_length_b 3.3391
_cell_length_c 5.8326
_cell_angle_alpha 90.00
_cell_angle_beta 90.00
_cell_angle_gamma 90.00
loop_
_space_group_symop_operation_xyz
'x,y,z'
loop_
_atom_site_label
_atom_site_type_symbol
_atom_site_fract_x
_atom_site_fract_y
_atom_site_fract_z
_atom_site_occupancy
Ni1 Ni 0.0000 0.0000 0.4923 1
W1 W 0.5000 0.5000 0.2528 1
W2 W 0.0000 0.0000 0.0264 1
Sb1 Sb 0.5000 0.5000 0.7285 1
# Space-group type: P4mm, No. 99
# Uncorrected energy: -8.661 eV per atom
# Formation energy from raw total energies: 0.292 eV/atom
# Magnetization: 0.000 μB per formula unit